! Na2YHg | Alexandria via LeMat-Bulk | GGA-PBE | optimized geometry; values from VASP
&SYSTEM
  ibrav = 0, nat = 4, ntyp = 3
/
ATOMIC_SPECIES
Na 22.99 Na.upf
Y 88.91 Y.upf
Hg 200.59 Hg.upf
CELL_PARAMETERS angstrom
3.443 0.000 0.000
1.721 2.982 0.000
1.721 0.994 11.881
ATOMIC_POSITIONS angstrom
Na 1.721 0.994 8.499
Y 0.000 0.000 0.000
Hg 3.443 1.988 5.941
Na 5.164 2.982 3.382
! Mass density (g cm⁻³): 4.57
! Fermi-level density of states (states/eV/f.u.): 3.4
! Final energy (eV/atom): -2.24